TbPaZnPt | Alexandria via LeMat-Bulk | PBE | optimized geometry; E = -23.31 eV per formula unit; formation energy = -45.2 kJ per mole of atoms; symmetry = No. 216; density = 12.2 Mg/m³; crystal system = cubic
1.0
7.0669 0.0000 0.0000
0.0000 7.0669 0.0000
0.0000 0.0000 7.0669
Tb Pa Zn Pt
4 4 4 4
Direct
0.0000 0.0000 0.0000 Tb
0.0000 0.5000 0.5000 Tb
0.5000 0.0000 0.5000 Tb
0.5000 0.5000 0.0000 Tb
0.0000 0.0000 0.5000 Pa
0.0000 0.5000 0.0000 Pa
0.5000 0.0000 0.0000 Pa
0.5000 0.5000 0.5000 Pa
0.2500 0.2500 0.7500 Zn
0.2500 0.7500 0.2500 Zn
0.7500 0.2500 0.2500 Zn
0.7500 0.7500 0.7500 Zn
0.2500 0.2500 0.2500 Pt
0.2500 0.7500 0.7500 Pt
0.7500 0.2500 0.7500 Pt
0.7500 0.7500 0.2500 Pt

---

Pa6Tc2Pt | Alexandria via LeMat-Bulk | PBE | optimized geometry; E = -85.22 eV per formula unit; formation energy = -15.8 kJ per mole of atoms; symmetry = No. 14; density = 14.1 Mg/m³; crystal system = monoclinic
1.0
6.1371 0.0000 0.0000
0.0000 6.8780 0.0000
-5.4815 0.0000 9.9341
Pa Tc Pt
12 4 2
Direct
0.0801 0.0429 0.2425 Pa
0.0801 0.4571 0.7425 Pa
0.2156 0.7345 0.0754 Pa
0.2156 0.7655 0.5754 Pa
0.3799 0.1250 0.0576 Pa
0.3799 0.3750 0.5576 Pa
0.6201 0.6250 0.4424 Pa
0.6201 0.8750 0.9424 Pa
0.7844 0.2345 0.4246 Pa
0.7844 0.2655 0.9246 Pa
0.9199 0.5429 0.2575 Pa
0.9199 0.9571 0.7575 Pa
0.2535 0.1213 0.7088 Tc
0.2535 0.3787 0.2088 Tc
0.7465 0.6213 0.7912 Tc
0.7465 0.8787 0.2912 Tc
0.5000 0.0000 0.5000 Pt
0.5000 0.5000 0.0000 Pt

---

Pa2TcPt | Alexandria via LeMat-Bulk | PBE | optimized geometry; E = -37.25 eV per formula unit; energy above the most stable polymorph in this dataset = 0.334 eV/f.u.; formation energy = -44.6 kJ per mole of atoms; symmetry = No. 123; density = 15.0 Mg/m³; crystal system = tetragonal
1.0
3.3841 0.0000 0.0000
0.0000 3.3841 0.0000
0.0000 0.0000 7.3003
Pa Tc Pt
2 1 1
Direct
0.0000 0.0000 0.2395 Pa
0.0000 0.0000 0.7605 Pa
0.5000 0.5000 0.0000 Tc
0.5000 0.5000 0.5000 Pt

---

Pa2TcPt | Alexandria via LeMat-Bulk | PBE | optimized geometry; E = -37.58 eV per formula unit; energy above the most stable polymorph in this dataset = 0.000 eV/f.u.; formation energy = -52.6 kJ per mole of atoms; symmetry = No. 58; density = 13.6 Mg/m³; crystal system = orthorhombic
1.0
5.8123 0.0000 0.0000
0.0000 7.5817 0.0000
0.0000 0.0000 4.1704
Pa Tc Pt
4 2 2
Direct
0.2304 0.1655 0.0000 Pa
0.2696 0.6655 0.5000 Pa
0.7304 0.3345 0.5000 Pa
0.7696 0.8345 0.0000 Pa
0.0000 0.0000 0.5000 Tc
0.5000 0.5000 0.0000 Tc
0.0000 0.5000 0.0000 Pt
0.5000 0.0000 0.5000 Pt

---

Pa2TcPt | Alexandria via LeMat-Bulk | PBE | optimized geometry; E = -37.09 eV per formula unit; energy above the most stable polymorph in this dataset = 0.486 eV/f.u.; formation energy = -40.9 kJ per mole of atoms; symmetry = No. 225; density = 15.0 Mg/m³; crystal system = cubic
1.0
6.9399 0.0000 0.0000
0.0000 6.9399 0.0000
0.0000 0.0000 6.9399
Pa Tc Pt
8 4 4
Direct
0.2500 0.2500 0.2500 Pa
0.2500 0.2500 0.7500 Pa
0.2500 0.7500 0.2500 Pa
0.2500 0.7500 0.7500 Pa
0.7500 0.2500 0.2500 Pa
0.7500 0.2500 0.7500 Pa
0.7500 0.7500 0.2500 Pa
0.7500 0.7500 0.7500 Pa
0.0000 0.0000 0.0000 Tc
0.0000 0.5000 0.5000 Tc
0.5000 0.0000 0.5000 Tc
0.5000 0.5000 0.0000 Tc
0.0000 0.0000 0.5000 Pt
0.0000 0.5000 0.0000 Pt
0.5000 0.0000 0.0000 Pt
0.5000 0.5000 0.5000 Pt

---

Pa12Tc6Pt | Alexandria via LeMat-Bulk | PBE | optimized geometry; E = -181.43 eV per formula unit; formation energy = 3.9 kJ per mole of atoms; symmetry = No. 148; density = 12.5 Mg/m³; crystal system = trigonal
1.0
5.8870 3.3988 3.9264
-5.8870 3.3988 3.9264
0.0000 -6.7977 3.9264
Pa Tc Pt
12 6 1
Direct
0.0267 0.6495 0.9278 Pa
0.0722 0.9733 0.3505 Pa
0.1880 0.4015 0.5504 Pa
0.3505 0.0722 0.9733 Pa
0.4015 0.5504 0.1880 Pa
0.4496 0.8120 0.5985 Pa
0.5504 0.1880 0.4015 Pa
0.5985 0.4496 0.8120 Pa
0.6495 0.9278 0.0267 Pa
0.8120 0.5985 0.4496 Pa
0.9278 0.0267 0.6495 Pa
0.9733 0.3505 0.0722 Pa
0.1331 0.6410 0.3354 Tc
0.3354 0.1331 0.6410 Tc
0.3590 0.6646 0.8669 Tc
0.6410 0.3354 0.1331 Tc
0.6646 0.8669 0.3590 Tc
0.8669 0.3590 0.6646 Tc
0.0000 0.0000 0.0000 Pt